# CrTcTe GGA-PBE optimized geometry
data_CrTcTe
_symmetry_space_group_name_H-M 'C 1 m 1'
_symmetry_Int_Tables_number 8
_cell_length_a 8.7100
_cell_length_b 3.0989
_cell_length_c 9.5210
_cell_angle_alpha 90.00
_cell_angle_beta 97.47
_cell_angle_gamma 90.00
loop_
_symmetry_equiv_pos_as_xyz
'x,y,z'
'x,-y,z'
'x+1/2,y+1/2,z'
'x+1/2,-y+1/2,z'
loop_
_atom_site_label
_atom_site_type_symbol
_atom_site_fract_x
_atom_site_fract_y
_atom_site_fract_z
_atom_site_occupancy
Cr1 Cr 0.0000 0.0000 0.0000 1
Cr2 Cr 0.2330 0.5000 0.1071 1
Tc1 Tc 0.0503 0.5000 0.8038 1
Tc2 Tc 0.2842 0.0000 0.8962 1
Te1 Te 0.0454 0.0000 0.2757 1
Te2 Te 0.3206 0.5000 0.6474 1
# * energy: -7.54 eV/atom
# * ΔE to the lowest computed polymorph: 0.181 eV per atom
# * formation energy from raw total energies: 0.170 eV per atom
# * total magnetization: 0.50 μB per formula unit

---

# LiOs3S GGA-PBE optimized geometry
data_LiOs3S
_symmetry_space_group_name_H-M 'P m -3 m'
_symmetry_Int_Tables_number 221
_symmetry_space_group_name_Hall '-P 4 2 3'
_cell_length_a 4.3356
_cell_length_b 4.3356
_cell_length_c 4.3356
_cell_angle_alpha 90.00
_cell_angle_beta 90.00
_cell_angle_gamma 90.00
loop_
_atom_site_label
_atom_site_type_symbol
_atom_site_fract_x
_atom_site_fract_y
_atom_site_fract_z
_atom_site_occupancy
Li1 Li 0.0000 0.0000 0.0000 1
Os1 Os 0.0000 0.5000 0.5000 1
S1 S 0.5000 0.5000 0.5000 1
# * energy: -6.95 eV/atom
# * ΔE to the lowest computed polymorph: 0.000 eV per atom
# * formation energy from raw total energies: 0.998 eV per atom
# * total magnetization: 0.65 μB per formula unit